Entry from Alexandria via LeMat-Bulk: a relaxed structure of BaHgSe2 (PBE).

## Properties
As for the crystal system: cubic. Its raw formation energy is -590 meV/atom. The value obtained for the size of the total moment is 0.000 μB per atom. As for the space-group type: No. 216. Its total energy is -2.889 eV/atom. The density comes out at 7.07 g cm⁻³.

abc: 5.482 5.482 5.482
angles: 60.00 60.00 60.00
Atoms (fractional coordinates):
Ba 0.500 0.500 0.500
Hg 0.750 0.750 0.750
Se 0.000 0.000 0.000
Se 0.250 0.250 0.250



Entry from Alexandria via LeMat-Bulk: a relaxed structure of NaSr3Be (PBE).

## Properties
The formation enthalpy at 0 K is 0.25 eV per atom. The value obtained for the energy above the most stable polymorph in this dataset is 0.00 eV per formula unit. As for the crystal system: cubic. The value obtained for the size of the total moment is 0.000 μB per atom. As for the space-group type: No. 221. Its total energy is -1.764 eV/atom. The density comes out at 2.16 g cm⁻³.

abc: 6.094 6.094 6.094
angles: 90.00 90.00 90.00
Atoms (fractional coordinates):
Sr 0.000 0.500 0.000
Sr 0.000 0.000 0.500
Sr 0.500 0.000 0.000
Be 0.000 0.000 0.000
Na 0.500 0.500 0.500



Entry from Alexandria via LeMat-Bulk: a relaxed structure of Hg3BTe (PBE).

## Properties
The value obtained for the energy above the most stable polymorph in this dataset is 0.00 eV per formula unit. As for the crystal system: cubic. Its raw formation energy is 568 meV/atom. The value obtained for the size of the total moment is 0.000 μB per atom. As for the space-group type: No. 221. Its total energy is -1.577 eV/atom. The density comes out at 10.77 g cm⁻³.

abc: 4.850 4.850 4.850
angles: 90.00 90.00 90.00
Atoms (fractional coordinates):
B 0.000 0.000 0.000
Te 0.500 0.500 0.500
Hg 0.000 0.500 0.000
Hg 0.000 0.000 0.500
Hg 0.500 0.000 0.000



Entry from Alexandria via LeMat-Bulk: a relaxed structure of MoRu3Pt (PBE).

## Properties
The formation enthalpy at 0 K is 1.68 eV per atom. The value obtained for the energy above the most stable polymorph in this dataset is 2.23 eV per formula unit. As for the crystal system: cubic. The value obtained for the size of the total moment is 0.583 μB per atom. As for the space-group type: No. 221. Its total energy is -7.263 eV/atom. The density comes out at 10.15 g cm⁻³.

abc: 4.599 4.599 4.599
angles: 90.00 90.00 90.00
Last column: magnetic moment on the atom in μB.
Atoms (fractional coordinates):
Ru 0.000 0.500 0.000  0.92
Ru 0.000 0.000 0.500  0.88
Ru 0.500 0.000 0.000  0.93
Mo 0.000 0.000 0.000  -0.21
Pt 0.500 0.500 0.500  0.35



Entry from Alexandria via LeMat-Bulk: a relaxed structure of Nd4Y3 (PBE).

## Properties
The formation enthalpy at 0 K is 0.10 eV per atom. The value obtained for the energy above the most stable polymorph in this dataset is 0.00 eV per formula unit. As for the crystal system: monoclinic. The value obtained for the size of the total moment is 0.000 μB per atom. As for the space-group type: No. 12. Its total energy is -5.391 eV/atom. The density comes out at 5.88 g cm⁻³.

abc: 5.981 9.215 5.680
angles: 112.21 121.77 90.00
Atoms (fractional coordinates):
Nd 0.861 0.579 0.721
Nd 0.139 0.421 0.279
Nd 0.715 0.140 0.429
Nd 0.285 0.860 0.571
Y 0.000 0.000 0.000
Y 0.567 0.712 0.134
Y 0.433 0.288 0.866



Entry from Alexandria via LeMat-Bulk: a relaxed structure of CaInSi2S6 (PBE).

## Properties
As for the crystal system: monoclinic. Its raw formation energy is -809 meV/atom. The value obtained for the size of the total moment is 0.000 μB per atom. As for the space-group type: No. 15. Its total energy is -4.844 eV/atom. The density comes out at 2.83 g cm⁻³.

abc: 6.476 8.678 8.678
angles: 86.93 80.03 80.03
Atoms (fractional coordinates):
Ca 0.250 0.893 0.107
Ca 0.750 0.107 0.893
In 0.250 0.295 0.705
In 0.750 0.705 0.295
Si 0.232 0.793 0.629
Si 0.268 0.371 0.207
Si 0.768 0.207 0.371
Si 0.732 0.629 0.793
S 0.172 0.973 0.794
S 0.328 0.206 0.027
S 0.828 0.027 0.206
S 0.672 0.794 0.973
S 0.362 0.874 0.408
S 0.138 0.592 0.126
S 0.638 0.126 0.592
S 0.862 0.408 0.874
S 0.947 0.704 0.589
S 0.553 0.411 0.296
S 0.053 0.296 0.411
S 0.447 0.589 0.704



Entry from Alexandria via LeMat-Bulk: a relaxed structure of Ho3Tm4Sn4 (PBE).

## Properties
The formation enthalpy at 0 K is -0.49 eV per atom. As for the crystal system: orthorhombic. The value obtained for the size of the total moment is 0.108 μB per atom. As for the space-group type: No. 71. Its total energy is -4.816 eV/atom. The density comes out at 8.61 g cm⁻³.

abc: 4.044 9.203 9.894
angles: 117.72 101.79 90.00
Last column: magnetic moment on the atom in μB.
Atoms (fractional coordinates):
Ho 0.104 0.104 0.208  0.07
Ho 0.896 0.896 0.792  0.07
Ho 0.000 0.500 0.000  0.03
Tm 0.330 0.138 0.660  0.16
Tm 0.670 0.478 0.340  0.16
Tm 0.670 0.862 0.340  0.16
Tm 0.330 0.522 0.660  0.16
Sn 0.257 0.757 0.514  0.00
Sn 0.743 0.243 0.486  0.00
Sn 0.500 0.788 0.000  0.00
Sn 0.500 0.212 0.000  0.00



Entry from Alexandria via LeMat-Bulk: a relaxed structure of AcPm3N3 (PBE).

## Properties
As for the crystal system: trigonal. Its raw formation energy is -942 meV/atom. The value obtained for the size of the total moment is 0.081 μB per atom. As for the space-group type: No. 148. Its total energy is -7.133 eV/atom. The density comes out at 6.94 g cm⁻³.

abc: 6.407 6.407 10.179
angles: 71.66 71.66 60.00
Last column: magnetic moment on the atom in μB.
Atoms (fractional coordinates):
Ac 0.333 0.333 0.000  0.05
Ac 0.667 0.667 0.000  0.05
Pm 0.421 0.784 0.692  0.06
Pm 0.784 0.103 0.692  0.06
Pm 0.103 0.421 0.692  0.06
Pm 0.897 0.579 0.308  0.06
Pm 0.216 0.897 0.308  0.06
Pm 0.579 0.216 0.308  0.06
N 0.297 0.571 0.197  -0.01
N 0.935 0.297 0.197  -0.01
N 0.571 0.935 0.197  -0.01
N 0.429 0.065 0.803  -0.01
N 0.065 0.703 0.803  -0.01
N 0.703 0.429 0.803  -0.01



Entry from Alexandria via LeMat-Bulk: a relaxed structure of InSn2As2 (PBE).

## Properties
The formation enthalpy at 0 K is 0.10 eV per atom. The value obtained for the energy above the most stable polymorph in this dataset is 0.10 eV per formula unit. As for the crystal system: tetragonal. The value obtained for the size of the total moment is 0.000 μB per atom. As for the space-group type: No. 139. Its total energy is -3.912 eV/atom. The density comes out at 6.19 g cm⁻³.

abc: 5.465 5.465 5.937
angles: 62.59 62.59 90.00
Atoms (fractional coordinates):
As 0.358 0.358 0.285
As 0.642 0.642 0.715
Sn 0.750 0.250 0.500
Sn 0.250 0.750 0.500
In 0.000 0.000 0.000



Entry from Alexandria via LeMat-Bulk: a relaxed structure of Tm5Ni2Pb5 (PBE).

## Properties
The formation enthalpy at 0 K is -0.38 eV per atom. As for the crystal system: monoclinic. The value obtained for the size of the total moment is 0.000 μB per atom. As for the space-group type: No. 12. Its total energy is -4.754 eV/atom. The density comes out at 11.22 g cm⁻³.

abc: 4.480 8.589 8.385
angles: 76.82 74.51 74.88
Atoms (fractional coordinates):
Tm 0.500 0.500 0.500
Tm 0.365 0.343 0.928
Tm 0.327 0.021 0.325
Tm 0.673 0.979 0.675
Tm 0.635 0.657 0.072
Ni 0.854 0.546 0.747
Ni 0.146 0.454 0.253
Pb 0.945 0.749 0.362
Pb 0.255 0.721 0.769
Pb 0.745 0.279 0.231
Pb 0.055 0.251 0.638
Pb 0.000 0.000 0.000



Entry from Alexandria via LeMat-Bulk: a relaxed structure of NdSm2Y5Th (PBE).

## Properties
The formation enthalpy at 0 K is 0.28 eV per atom. As for the crystal system: tetragonal. The value obtained for the size of the total moment is 0.000 μB per atom. As for the space-group type: No. 140. Its total energy is -5.712 eV/atom. The density comes out at 6.27 g cm⁻³.

abc: 8.769 8.769 9.905
angles: 116.27 116.27 90.00
Atoms (fractional coordinates):
Nd 0.250 0.750 0.500
Nd 0.750 0.250 0.500
Sm 0.116 0.384 0.000
Sm 0.616 0.116 0.000
Sm 0.384 0.884 0.000
Sm 0.884 0.616 0.000
Y 0.927 0.427 0.275
Y 0.652 0.152 0.725
Y 0.073 0.573 0.725
Y 0.152 0.073 0.725
Y 0.573 0.652 0.725
Y 0.848 0.927 0.275
Y 0.427 0.348 0.275
Y 0.348 0.848 0.275
Y 0.500 0.500 0.000
Y 0.000 0.000 0.000
Th 0.250 0.250 0.500
Th 0.750 0.750 0.500



Entry from Alexandria via LeMat-Bulk: a relaxed structure of La2Zn2Ga3 (PBE).

## Properties
The formation enthalpy at 0 K is -0.56 eV per atom. As for the crystal system: orthorhombic. The value obtained for the size of the total moment is 0.000 μB per atom. As for the space-group type: No. 63. Its total energy is -3.629 eV/atom. The density comes out at 6.59 g cm⁻³.

abc: 4.540 7.116 9.897
angles: 90.00 103.26 90.00
Atoms (fractional coordinates):
La 0.162 0.250 0.324
La 0.838 0.750 0.676
La 0.948 0.250 0.897
La 0.052 0.750 0.103
Zn 0.682 0.934 0.363
Zn 0.318 0.066 0.637
Zn 0.318 0.434 0.637
Zn 0.682 0.566 0.363
Ga 0.223 0.750 0.447
Ga 0.777 0.250 0.553
Ga 0.559 0.426 0.118
Ga 0.441 0.574 0.882
Ga 0.441 0.926 0.882
Ga 0.559 0.074 0.118



Q: Number 6 is which compound?
A: CaInSi2S6



Q: Look up the size of the total moment of the fifth one.
A: 0.000 μB per atom



Q: Which value of size of the total moment does entry 5 give?
A: 0.000 μB per atom